Record 1
This record from the Alexandria database describes crystalline DyY6Al2 at its relaxed geometry. The functional is PBE.

Cell lengths 3.6719, 6.5547, 11.6365 Å; angles 75.53, 80.92, 73.73 degrees
Sites, in units of the cell vectors:
Dy (0.0000, 0.0000, 0.0000)
Y (0.6874, 0.5012, 0.1239)
Y (0.3126, 0.4988, 0.8761)
Y (0.3108, 0.7894, 0.5889)
Y (0.9772, 0.7161, 0.3294)
Y (0.0228, 0.2839, 0.6706)
Y (0.6892, 0.2106, 0.4111)
Al (0.3518, 0.0931, 0.2032)
Al (0.6482, 0.9069, 0.7968)

Summary:
Its space group is C2/m. The density of states at the Fermi level comes out at 1.317 states/eV per atom. The value obtained for the calculated formation energy is -0.18 eV per atom.



Record 2
This record from the Alexandria database describes crystalline Dy5YAl3 at its relaxed geometry. The functional is PBE.

Cell lengths 6.6486, 9.0723, 9.0722 Å; angles 120.00, 90.00, 90.00 degrees
Sites, in units of the cell vectors:
Dy (0.0000, 0.6666, 0.3333)
Dy (0.5000, 0.3334, 0.6667)
Dy (0.0000, 0.3334, 0.6667)
Dy (0.5000, 0.6666, 0.3333)
Dy (0.7500, 0.6647, 0.6646)
Dy (0.7500, 0.0000, 0.3354)
Dy (0.7500, 0.3353, 0.0000)
Dy (0.2500, 0.3353, 0.3354)
Dy (0.2500, 0.0000, 0.6646)
Dy (0.2500, 0.6647, 0.0000)
Y (0.0000, 0.0000, 0.0000)
Y (0.5000, 0.0000, 0.0000)
Al (0.7500, 0.3312, 0.3313)
Al (0.7500, 0.0000, 0.6687)
Al (0.7500, 0.6688, 0.0000)
Al (0.2500, 0.6688, 0.6687)
Al (0.2500, 0.0000, 0.3313)
Al (0.2500, 0.3312, 0.0000)

Summary:
Its space group is P6_3/mcm. The density of states at the Fermi level comes out at 1.022 states/eV per atom. The value obtained for the calculated formation energy is -0.27 eV per atom.



Record 3
This record from the Alexandria database describes crystalline Dy4YAl4 at its relaxed geometry. The functional is PBE.

Cell lengths 5.7688, 8.8491, 8.8491 Å; angles 90.00, 90.00, 90.00 degrees
Sites, in units of the cell vectors:
Dy (0.3866, 0.4251, 0.8355)
Dy (0.8866, 0.6645, 0.9251)
Dy (0.3866, 0.5749, 0.1645)
Dy (0.1134, 0.0749, 0.6645)
Dy (0.6134, 0.8355, 0.5749)
Dy (0.1134, 0.9251, 0.3355)
Dy (0.8866, 0.3355, 0.0749)
Dy (0.6134, 0.1645, 0.4251)
Y (0.0000, 0.0000, 0.0000)
Y (0.5000, 0.5000, 0.5000)
Al (0.5963, 0.9045, 0.1943)
Al (0.5963, 0.0955, 0.8057)
Al (0.0963, 0.6943, 0.5955)
Al (0.9037, 0.4045, 0.6943)
Al (0.9037, 0.5955, 0.3057)
Al (0.4037, 0.1943, 0.0955)
Al (0.4037, 0.8057, 0.9045)
Al (0.0963, 0.3057, 0.4045)

Summary:
Its space group is P4_2/n. The density of states at the Fermi level comes out at 0.915 states/eV per atom. The value obtained for the calculated formation energy is -0.16 eV per atom.



Record 4
This record from the Alexandria database describes crystalline Dy2YAl at its relaxed geometry. The functional is PBE.

Cell lengths 5.2996, 6.8396, 6.8396 Å; angles 119.83, 90.00, 90.00 degrees
Sites, in units of the cell vectors:
Dy (0.5000, 0.1746, 0.8254)
Dy (0.0000, 0.3509, 0.1738)
Dy (0.0000, 0.8262, 0.6491)
Dy (0.0000, 0.8247, 0.1753)
Y (0.5000, 0.6501, 0.8261)
Y (0.5000, 0.1739, 0.3499)
Al (0.5000, 0.6668, 0.3332)
Al (0.0000, 0.3330, 0.6670)

Summary:
Its space group is Amm2. The density of states at the Fermi level comes out at 1.023 states/eV per atom. As for the polymorph energy (0 for the lowest one): 0 meV per atom. The value obtained for the calculated formation energy is -0.20 eV per atom.



Record 5
This record from the Alexandria database describes crystalline DyY3Al8 at its relaxed geometry. The functional is PBE.

Cell lengths 5.5584, 5.5584, 9.6684 Å; angles 73.29, 73.29, 60.00 degrees
Sites, in units of the cell vectors:
Dy (0.8752, 0.8752, 0.3743)
Y (0.3752, 0.3752, 0.8743)
Y (0.9996, 0.9996, 0.0011)
Y (0.4999, 0.4999, 0.5003)
Al (0.9375, 0.4374, 0.1877)
Al (0.4377, 0.9375, 0.6874)
Al (0.4374, 0.4374, 0.1877)
Al (0.9375, 0.9375, 0.6874)
Al (0.1875, 0.1875, 0.4375)
Al (0.6875, 0.6875, 0.9374)
Al (0.4374, 0.9375, 0.1877)
Al (0.9375, 0.4377, 0.6874)

Summary:
Its space group is R3m. The density of states at the Fermi level comes out at 0.817 states/eV per atom. As for the polymorph energy (0 for the lowest one): 0 meV per atom. The value obtained for the calculated formation energy is -0.53 eV per atom.



Record 6
This record from the Alexandria database describes crystalline DyY5Al4 at its relaxed geometry. The functional is PBE.

Cell lengths 3.5805, 3.5805, 19.7342 Å; angles 90.00, 90.00, 90.00 degrees
Sites, in units of the cell vectors:
Dy (0.0000, 0.0000, 0.0000)
Y (0.5000, 0.5000, 0.1283)
Y (0.5000, 0.5000, 0.3146)
Y (0.5000, 0.5000, 0.5000)
Y (0.5000, 0.5000, 0.6854)
Y (0.5000, 0.5000, 0.8717)
Al (0.0000, 0.0000, 0.2209)
Al (0.0000, 0.0000, 0.4071)
Al (0.0000, 0.0000, 0.5929)
Al (0.0000, 0.0000, 0.7791)

Summary:
Its space group is P4/mmm. The density of states at the Fermi level comes out at 0.716 states/eV per atom. The value obtained for the calculated formation energy is -0.33 eV per atom.